## DyEr4Ag (PBE-GGA)

Data for a relaxed DyEr4Ag crystal.

## Properties
N(E_F) = 1.41 states/eV per atom
energy above the most stable polymorph in this dataset = 0.127 eV/atom
calculated formation energy = 5 kJ/mol of atoms
VASP energy = -0.31143 Ry per atom
size of the total moment = 0.000 μB per formula unit

a b c (Å): 10.706 10.706 6.369
angles (deg): 90.00 90.00 150.95
Element x y z (fractional)
Dy 0.135 0.865 0.500
Dy 0.865 0.135 0.000
Er 0.066 0.934 0.004
Er 0.257 0.743 0.129
Er 0.324 0.676 0.641
Er 0.465 0.535 0.838
Er 0.535 0.465 0.338
Er 0.676 0.324 0.141
Er 0.743 0.257 0.629
Er 0.934 0.066 0.504
Ag 0.397 0.603 0.247
Ag 0.603 0.397 0.747

## BaRu2Au (PBE-GGA)

Data for a relaxed BaRu2Au crystal.

## Properties
N(E_F) = 1.47 states/eV per atom
energy above the most stable polymorph in this dataset = 0.963 eV/atom
calculated formation energy = 105 kJ/mol of atoms
VASP energy = -0.35607 Ry per atom
size of the total moment = 0.941 μB per formula unit

a b c (Å): 10.238 10.238 10.238
angles (deg): 16.92 16.92 16.92
Element x y z (fractional)
Ba 0.000 0.000 0.000
Ru 0.238 0.238 0.238
Ru 0.762 0.762 0.762
Au 0.500 0.500 0.500

## ReIrW2 (PBE-GGA)

Data for a relaxed ReIrW2 crystal.

## Properties
N(E_F) = 1.06 states/eV per atom
calculated formation energy = -5 kJ/mol of atoms
VASP energy = -0.87119 Ry per atom
size of the total moment = 0.000 μB per formula unit

a b c (Å): 3.958 3.958 3.934
angles (deg): 90.00 90.00 90.00
Element x y z (fractional)
Re 0.000 0.000 0.000
Ir 0.500 0.500 0.000
W 0.000 0.500 0.500
W 0.500 0.000 0.500